No. 1
{
  "formula": "Na2ZrSiB",
  "functional": "PBE-GGA",
  "state": "optimized geometry",
  "lattice_angstrom": [[-4.081, -3.477, 2.651], [-1.386, -1.194, -3.700], [3.884, -4.548, 0.012]],
  "species": ["Na", "Na", "B", "Si", "Zr"],
  "frac_coords": [[0.000, 0.000, 0.500], [0.500, 0.000, 0.000], [0.000, 0.500, 0.000], [0.500, 0.500, 0.500], [0.000, 0.000, 0.000]],
  "spacegroup": "P4/mmm",
  "raw_formation_energy_mev_per_atom": 1562
}



No. 2
{
  "formula": "LiCaGdMg",
  "functional": "PBE-GGA",
  "state": "optimized geometry",
  "lattice_angstrom": [[5.481, 0.000, 0.000], [2.741, 4.747, 0.000], [2.741, 1.582, 4.476]],
  "species": ["Gd", "Mg", "Ca", "Li"],
  "frac_coords": [[0.250, 0.250, 0.250], [0.500, 0.500, 0.500], [0.750, 0.750, 0.750], [0.000, 0.000, 0.000]],
  "spacegroup": "F-43m",
  "e_form_ev_per_atom": 0.03
}



No. 3
{
  "formula": "PrLuIrRu",
  "functional": "PBE-GGA",
  "state": "optimized geometry",
  "lattice_angstrom": [[4.882, 0.000, 0.000], [2.441, 4.228, 0.000], [2.441, 1.409, 3.986]],
  "species": ["Ir", "Lu", "Pr", "Ru"],
  "frac_coords": [[0.250, 0.250, 0.250], [0.500, 0.500, 0.500], [0.000, 0.000, 0.000], [0.750, 0.750, 0.750]],
  "spacegroup": "F-43m",
  "e_form_ev_per_atom": -0.46
}